No. 1
DFT (PBE) results for a relaxed Sc2CoBr crystal.

Computed properties:
* formation energy from raw total energies: 0.396 eV/atom
* distance to the lowest polymorph of the same formula: 1039 meV/atom
* spin magnetization: 0.175 μB per formula unit
* density of states at the Fermi level: 25.5 states/eV per cell

Cell: 6.6873 6.6873 6.6873 Å, 90.00 90.00 90.00°
Space group F-43m (No. 216)
One atom of each set of equivalent atoms:
Sc1 0.0000 0.0000 0.0000 (multiplicity 4)
Sc2 0.2500 0.2500 0.2500 (multiplicity 4)
Co1 0.0000 0.0000 0.5000 (multiplicity 4)
Br1 0.2500 0.2500 0.7500 (multiplicity 4)

---

No. 2
DFT (PBE) results for a relaxed Pm2NdTm5Th crystal.

Computed properties:
* spin magnetization: 0.000 μB per formula unit
* density of states at the Fermi level: 42.0 states/eV per cell
* DFT formation energy: 2.580 eV per formula unit

Cell: 8.6694 8.6694 15.2981 Å, 90.00 90.00 90.00°
Space group I4/mcm (No. 140)
One atom of each set of equivalent atoms:
Pm1 0.1157 0.3843 0.0000 (multiplicity 8)
Nd1 0.0000 0.5000 0.2500 (multiplicity 4)
Tm1 0.0000 0.0000 0.0000 (multiplicity 4)
Tm2 0.2121 0.2879 0.3619 (multiplicity 16)
Th1 0.0000 0.0000 0.2500 (multiplicity 4)

---

No. 3
DFT (PBE) results for a relaxed Rb2ZrOs3O12 crystal.

Computed properties:
* formation energy from raw total energies: -1.530 eV/atom
* spin magnetization: 2.852 μB per formula unit
* density of states at the Fermi level: 22.8 states/eV per cell

Cell: 7.2862 7.2862 18.4732 Å, 90.00 90.00 120.00°
Space group R-3m (No. 166, hexagonal axes)
One atom of each set of equivalent atoms:
Rb1 0.0000 0.0000 0.1223 (multiplicity 6)
Zr1 0.0000 0.0000 0.5000 (multiplicity 3)
Os1 0.0000 0.5000 0.0000 (multiplicity 9)
O1 0.0592 0.5296 0.1015 (multiplicity 18)
O2 0.0803 0.5401 0.3469 (multiplicity 18)

---

No. 4
DFT (PBE) results for a relaxed SrGaHg4 crystal.

Computed properties:
* distance to the lowest polymorph of the same formula: 0 meV/atom
* spin magnetization: 0.000 μB per formula unit
* density of states at the Fermi level: 11.4 states/eV per cell
* DFT formation energy: -1.257 eV per formula unit

Cell: 5.4147 15.1996 8.0697 Å, 90.00 90.00 90.00°
Space group Cmcm (No. 63)
One atom of each set of equivalent atoms:
Sr1 0.0000 0.1230 0.2500 (multiplicity 4)
Ga1 0.0000 0.3616 0.2500 (multiplicity 4)
Hg1 0.0000 0.0902 0.7500 (multiplicity 4)
Hg2 0.0000 0.2817 0.5653 (multiplicity 8)
Hg3 0.0000 0.5000 0.0000 (multiplicity 4)

---

No. 5
DFT (PBE) results for a relaxed TaHg2Te crystal.

Computed properties:
* formation energy from raw total energies: 0.133 eV/atom
* spin magnetization: 0.000 μB per formula unit
* density of states at the Fermi level: 10.4 states/eV per cell

Cell: 3.4530 3.4530 28.4092 Å, 90.00 90.00 120.00°
Space group R3m (No. 160, hexagonal axes)
One atom of each set of equivalent atoms:
Ta1 0.0000 0.0000 0.0000 (multiplicity 3)
Hg1 0.0000 0.0000 0.2554 (multiplicity 3)
Hg2 0.0000 0.0000 0.5018 (multiplicity 3)
Te1 0.0000 0.0000 0.7334 (multiplicity 3)

---

No. 6
DFT (PBE) results for a relaxed KNaHgAu crystal.

Computed properties:
* distance to the lowest polymorph of the same formula: 19 meV/atom
* spin magnetization: 0.000 μB per formula unit
* density of states at the Fermi level: 7.5 states/eV per cell
* DFT formation energy: -0.918 eV per formula unit

Cell: 7.7606 7.7606 7.7606 Å, 90.00 90.00 90.00°
Space group F-43m (No. 216)
One atom of each set of equivalent atoms:
K1 0.0000 0.0000 0.0000 (multiplicity 4)
Na1 0.0000 0.0000 0.5000 (multiplicity 4)
Hg1 0.2500 0.2500 0.7500 (multiplicity 4)
Au1 0.2500 0.2500 0.2500 (multiplicity 4)

---

No. 7
DFT (PBE) results for a relaxed FeSi2Mo crystal.

Computed properties:
* formation energy from raw total energies: -0.158 eV/atom
* spin magnetization: 0.000 μB per formula unit
* density of states at the Fermi level: 6.4 states/eV per cell

Cell: 7.6667 2.7301 5.0373 Å, 90.00 100.72 90.00°
Space group C2/m (No. 12)
One atom of each set of equivalent atoms:
Fe1 0.0000 0.0000 0.0000 (multiplicity 2)
Si1 0.2412 0.5000 0.2073 (multiplicity 4)
Mo1 0.0000 0.5000 0.5000 (multiplicity 2)

---

No. 8
DFT (PBE) results for a relaxed MnGeRh2Se crystal.

Computed properties:
* formation energy from raw total energies: 0.702 eV/atom
* spin magnetization: 0.861 μB per formula unit
* density of states at the Fermi level: 8.9 states/eV per cell

Cell: 4.6065 4.6065 4.3614 Å, 90.00 90.00 90.00°
Space group P4/mmm (No. 123)
One atom of each set of equivalent atoms:
Mn1 0.0000 0.0000 0.0000 (multiplicity 1)
Ge1 0.5000 0.5000 0.0000 (multiplicity 1)
Rh1 0.0000 0.5000 0.5000 (multiplicity 2)
Se1 0.0000 0.0000 0.5000 (multiplicity 1)